A plane-wave DFT calculation with PBE with a Hubbard U was carried out for AlCoO3 after structural relaxation.

Output
V   9.5 Å³ per atom
ρ   4.7 Mg/m³
Calculated total energy   -6.12 eV per atom

abc: 3.625 3.625 3.625
angles: 90.00 90.00 90.00
Atoms (fractional coordinates):
Al  0.000  0.000  0.000
Co  0.500  0.500  0.500
O  0.000  0.000  0.500
O  0.000  0.500  0.000
O  0.500  0.000  0.000